Entry from OQMD via LeMat-Bulk: an optimized crystal structure of Tc2Pb (GGA-PBE).

Cell: 5.3729 5.3729 5.3729 Å, 60.00 60.00 60.00°
With the nearest neighbours (Å) after each atom.
Positions (direct):
1 Pb 0.0000 0.0000 0.0000  12 Tc 3.15, 4 Pb 3.29
2 Pb 0.2500 0.2500 0.2500  12 Tc 3.15, 4 Pb 3.29
3 Tc 0.6250 0.1250 0.6250  6 Tc 2.69
4 Tc 0.6250 0.6250 0.6250  6 Tc 2.69
5 Tc 0.1250 0.6250 0.6250  6 Tc 2.69
6 Tc 0.6250 0.6250 0.1250  6 Tc 2.69

Output
Spin magnetization, μB/f.u.: 0.0
Crystal system: cubic
DFT total energy, eV/atom: -7.512



Entry from OQMD via LeMat-Bulk: an optimized crystal structure of Sm2Lu2O5 (GGA-PBE).

Cell: 8.5293 4.1052 4.1052 Å, 90.00 90.00 90.00°
With the nearest neighbours (Å) after each atom.
Positions (direct):
1 Sm 0.2390 0.5000 0.5000  5 O 2.21-2.23
2 O 0.5000 0.5000 0.5000  2 Sm 2.23
3 Sm 0.7610 0.5000 0.5000  5 O 2.21-2.23
4 O 0.8558 0.0000 0.5000  2 Sm 2.21, 2 Lu 2.39, 1 O 2.46
5 Lu 0.5000 0.0000 0.0000  4 O 2.90
6 O 0.1442 0.5000 0.0000  2 Sm 2.21, 2 Lu 2.39, 1 O 2.46
7 O 0.8558 0.5000 0.0000  2 Sm 2.21, 2 Lu 2.39, 1 O 2.46
8 Lu 0.0000 0.0000 0.0000  8 O 2.39
9 O 0.1442 0.0000 0.5000  2 Sm 2.21, 2 Lu 2.39, 1 O 2.46

Output
Spin magnetization, μB/f.u.: 0.3
Crystal system: tetragonal
E above lowest polymorph, meV/atom: 202



Entry from OQMD via LeMat-Bulk: an optimized crystal structure of PrNbTe (GGA-PBE).

Cell: 4.9269 4.9269 4.9269 Å, 60.00 60.00 60.00°
With the nearest neighbours (Å) after each atom.
Positions (direct):
1 Pr 0.7500 0.7500 0.7500  4 Te 3.02
2 Te 0.0000 0.0000 0.0000  4 Nb 3.02, 4 Pr 3.02
3 Nb 0.2500 0.2500 0.2500  4 Te 3.02

Output
Spin magnetization, μB/f.u.: 0.1
Crystal system: cubic
E above lowest polymorph, meV/atom: 0



Entry from OQMD via LeMat-Bulk: an optimized crystal structure of GeTePdO (GGA-PBE).

Cell: 4.2256 4.2256 8.3613 Å, 90.00 90.00 90.00°
With the nearest neighbours (Å) after each atom.
Positions (direct):
1 O 0.2500 0.7500 0.5000  4 Pd 2.13
2 Pd 0.2500 0.2500 0.5348  4 O 2.13
3 Te 0.2500 0.2500 0.1722  5 Ge 2.81-2.99, 1 Pd 3.03
4 O 0.7500 0.2500 0.5000  4 Pd 2.13
5 Ge 0.2500 0.2500 0.8361  1 Pd 2.52, 1 Te 2.81
6 Te 0.7500 0.7500 0.8278  5 Ge 2.81-2.99, 1 Pd 3.03
7 Ge 0.7500 0.7500 0.1639  1 Pd 2.52, 1 Te 2.81
8 Pd 0.7500 0.7500 0.4652  4 O 2.13

Output
Crystal system: tetragonal
E above lowest polymorph, meV/atom: 587



Entry from OQMD via LeMat-Bulk: an optimized crystal structure of ErLuMg2 (GGA-PBE).

Cell: 5.4013 6.8117 6.8117 Å, 121.21 90.00 90.00°
With the nearest neighbours (Å) after each atom.
Positions (direct):
1 Mg 0.2500 0.8323 0.6653  2 Lu 3.30-3.39, 4 Er 3.31-3.42, 6 Mg 3.35-3.46
2 Mg 0.7500 0.1746 0.8343  4 Lu 3.31-3.44, 4 Er 3.32-3.34, 4 Mg 3.35-3.46
3 Mg 0.7500 0.6653 0.8323  2 Lu 3.30-3.39, 4 Er 3.31-3.42, 6 Mg 3.35-3.46
4 Er 0.7500 0.6720 0.3371  8 Mg 3.31-3.42, 4 Lu 3.38-3.43
5 Er 0.2500 0.3371 0.6720  8 Mg 3.31-3.42, 4 Lu 3.38-3.43
6 Mg 0.2500 0.8343 0.1746  4 Lu 3.31-3.44, 4 Er 3.32-3.34, 4 Mg 3.35-3.46
7 Lu 0.2500 0.3226 0.1618  6 Mg 3.30-3.44, 2 Lu 3.31, 4 Er 3.38-3.43
8 Lu 0.7500 0.1618 0.3226  6 Mg 3.30-3.44, 2 Lu 3.31, 4 Er 3.38-3.43

Output
Spin magnetization, μB/f.u.: 0.0
Crystal system: orthorhombic
E above lowest polymorph, meV/atom: 60



Entry from OQMD via LeMat-Bulk: an optimized crystal structure of Th2InC (GGA-PBE).

Cell: 8.6633 8.6633 8.6633 Å, 24.85 24.85 24.85°
With the nearest neighbours (Å) after each atom.
Positions (direct):
1 Th 0.2756 0.2756 0.2756  3 C 2.60
2 Th 0.7244 0.7244 0.7244  3 C 2.60
3 C 0.0000 0.0000 0.0000  6 Th 2.60
4 In 0.5000 0.5000 0.5000  6 Th 3.49, 6 In 3.73

Output
Spin magnetization, μB/f.u.: 0.0
Crystal system: trigonal
DFT total energy, eV/atom: -7.025



Entry from OQMD via LeMat-Bulk: an optimized crystal structure of NdSiAs3Pt6 (GGA-PBE).

Cell: 7.3200 7.3200 4.1475 Å, 90.00 90.00 120.00°
With the nearest neighbours (Å) after each atom.
Positions (direct):
1 Pt 0.1975 0.3950 0.5000  2 As 2.48, 2 Si 2.70
2 Pt 0.9524 0.4762 0.0000  1 Si 2.42
3 Pt 0.5238 0.4762 0.0000  1 Si 2.42
4 Pt 0.5238 0.0476 0.0000  1 Si 2.42
5 Pt 0.1975 0.8025 0.5000  2 As 2.48, 2 Si 2.70
6 As 0.8068 0.6137 0.5000  6 Pt 2.48-2.74
7 As 0.3863 0.1932 0.5000  6 Pt 2.48-2.74
8 Si 0.3333 0.6667 0.0000  9 Pt 2.42-2.70
9 As 0.8068 0.1932 0.5000  6 Pt 2.48-2.74
10 Pt 0.6050 0.8025 0.5000  2 As 2.48, 2 Si 2.70
11 Nd 0.0000 0.0000 0.0000  6 As 3.21, 6 Pt 3.25

Output
Spin magnetization, μB/f.u.: 0.0
Crystal system: hexagonal
DFT total energy, eV/atom: -6.056



Entry from OQMD via LeMat-Bulk: an optimized crystal structure of NdNpH2I4 (GGA-PBE).

Cell: 4.0799 4.0799 16.4273 Å, 90.00 90.00 120.00°
With the nearest neighbours (Å) after each atom.
Positions (direct):
1 H 0.3333 0.6667 0.5000  3 Np 2.36
2 I 0.6667 0.3333 0.6300  3 H 3.18, 3 Np 3.18
3 I 0.3333 0.6667 0.1328  3 H 3.21, 3 Nd 3.21
4 I 0.6667 0.3333 0.3700  3 H 3.18, 3 Np 3.18
5 Np 0.0000 0.0000 0.5000  3 H 2.36
6 H 0.6667 0.3333 0.0000  3 Nd 2.36
7 Nd 0.0000 0.0000 0.0000  3 H 2.36
8 I 0.3333 0.6667 0.8672  3 H 3.21, 3 Nd 3.21

Output
Spin magnetization, μB/f.u.: 4.0
Crystal system: hexagonal
DFT total energy, eV/atom: -4.796



Entry from OQMD via LeMat-Bulk: an optimized crystal structure of RbNaHfTe3 (GGA-PBE).

Cell: 9.1726 4.3036 11.2774 Å, 90.00 109.41 90.00°
With the nearest neighbours (Å) after each atom.
Positions (direct):
1 Te 0.2210 0.7500 0.9171  1 Hf 2.86, 3 Na 3.00-3.13
2 Te 0.6142 0.7500 0.3754  1 Na 2.93, 2 Hf 2.94
3 Hf 0.1818 0.7500 0.6546  6 Te 2.86-2.96
4 Te 0.9497 0.2500 0.6233  3 Hf 2.96
5 Na 0.4395 0.2500 0.8958  4 Te 2.93-3.13, 2 Na 3.11
6 Te 0.7790 0.2500 0.0829  1 Hf 2.86, 3 Na 3.00-3.13
7 Rb 0.2391 0.2500 0.2104  7 Te 3.65-3.98
8 Te 0.3858 0.2500 0.6246  1 Na 2.93, 2 Hf 2.94
9 Te 0.0503 0.7500 0.3767  3 Hf 2.96
10 Rb 0.7609 0.7500 0.7896  7 Te 3.65-3.98
11 Na 0.5605 0.7500 0.1042  4 Te 2.93-3.13, 2 Na 3.11
12 Hf 0.8182 0.2500 0.3454  6 Te 2.86-2.96

Output
Spin magnetization, μB/f.u.: 0.0
Crystal system: monoclinic
DFT total energy, eV/atom: -4.487



Entry from OQMD via LeMat-Bulk: an optimized crystal structure of TmBr (GGA-PBE).

Cell: 3.5004 9.1956 3.5033 Å, 90.00 119.92 90.00°
With the nearest neighbours (Å) after each atom.
Positions (direct):
1 Br 0.3333 0.7500 0.6665  6 Tm 3.06
2 Br 0.6667 0.2500 0.3335  6 Tm 3.06
3 Tm 0.0000 0.5000 0.0000  6 Br 3.06
4 Tm 0.0000 0.0000 0.0000  6 Br 3.06

Output
Spin magnetization, μB/f.u.: 0.0
Crystal system: hexagonal
DFT total energy, eV/atom: -4.016



Entry from OQMD via LeMat-Bulk: an optimized crystal structure of CsBaLuTe3 (GGA-PBE).

Cell: 8.9739 8.9739 13.9118 Å, 90.00 90.00 147.57°
With the nearest neighbours (Å) after each atom.
Positions (direct):
1 Ba 0.0000 0.0000 0.0000  6 Te 3.52-3.62
2 Te 0.0587 0.9413 0.7500  2 Lu 2.99
3 Te 0.6277 0.3723 0.0815  1 Lu 2.83
4 Cs 0.2526 0.7474 0.2500  6 Te 4.05-4.10, 2 Lu 4.50
5 Te 0.3723 0.6277 0.9185  1 Lu 2.83
6 Cs 0.7474 0.2526 0.7500  6 Te 4.05-4.10, 2 Lu 4.50
7 Lu 0.4646 0.5354 0.7500  4 Te 2.83-2.99
8 Ba 0.0000 0.0000 0.5000  6 Te 3.52-3.62
9 Te 0.9413 0.0587 0.2500  2 Lu 2.99
10 Te 0.3723 0.6277 0.5815  1 Lu 2.83
11 Lu 0.5354 0.4646 0.2500  4 Te 2.83-2.99
12 Te 0.6277 0.3723 0.4185  1 Lu 2.83

Output
Spin magnetization, μB/f.u.: 0.0
Crystal system: orthorhombic
DFT total energy, eV/atom: -4.160



Entry from OQMD via LeMat-Bulk: an optimized crystal structure of Be2SbPt2 (GGA-PBE).

Cell: 6.7488 6.7488 6.7488 Å, 150.39 150.39 42.37°
With the nearest neighbours (Å) after each atom.
Positions (direct):
1 Be 0.2500 0.7500 0.5000  4 Pt 2.34, 4 Be 2.44
2 Sb 0.0000 0.0000 0.0000  8 Pt 2.89
3 Pt 0.6238 0.6238 0.0000  4 Be 2.34
4 Pt 0.3762 0.3762 0.0000  4 Be 2.34
5 Be 0.7500 0.2500 0.5000  4 Pt 2.34, 4 Be 2.44

Output
Spin magnetization, μB/f.u.: 0.0
Crystal system: tetragonal
DFT total energy, eV/atom: -5.150



Entry from OQMD via LeMat-Bulk: an optimized crystal structure of Er2BeGe4O12 (GGA-PBE).

Cell: 4.7429 7.0311 7.7547 Å, 66.98 86.95 76.52°
With the nearest neighbours (Å) after each atom.
Positions (direct):
1 O 0.2398 0.7929 0.1715  1 Ge 1.74, 1 Be 1.75
2 Ge 0.5870 0.6313 0.1968  4 O 1.74-1.81
3 O 0.3997 0.6498 0.7237  2 Ge 1.78-1.81
4 O 0.7602 0.2071 0.8285  1 Ge 1.74, 1 Be 1.75
5 Er 0.9371 0.2331 0.5504  7 O 2.23-2.47
6 O 0.6003 0.3502 0.2763  2 Ge 1.78-1.81
7 O 0.7710 0.9923 0.1855  1 Ge 1.74, 1 Be 1.75
8 O 0.7694 0.7053 0.9845  2 Ge 1.77-1.79
9 O 0.2337 0.0611 0.3990  1 Ge 1.74
10 Ge 0.5350 0.8370 0.7782  4 O 1.74-1.79
11 Be 0.0000 0.0000 0.0000  4 O 1.75
12 Ge 0.4650 0.1630 0.2218  4 O 1.74-1.79
13 Ge 0.4130 0.3687 0.8032  4 O 1.74-1.81
14 O 0.2393 0.4123 0.5944  1 Ge 1.74
15 O 0.2306 0.2947 0.0155  2 Ge 1.77-1.79
16 Er 0.0629 0.7669 0.4496  7 O 2.23-2.47
17 O 0.7663 0.9389 0.6010  1 Ge 1.74
18 O 0.2290 0.0077 0.8145  1 Ge 1.74, 1 Be 1.75
19 O 0.7607 0.5877 0.4056  1 Ge 1.74

Output
Spin magnetization, μB/f.u.: 0.0
Crystal system: triclinic
DFT total energy, eV/atom: -7.017



Entry from OQMD via LeMat-Bulk: an optimized crystal structure of HoTm2Ga2 (GGA-PBE).

Cell: 7.5930 7.5930 4.2256 Å, 90.00 90.00 90.00°
With the nearest neighbours (Å) after each atom.
Positions (direct):
1 Tm 0.8255 0.6745 0.5000  6 Ga 3.05-3.11
2 Ho 0.0000 0.0000 0.0000  4 Ga 3.02
3 Tm 0.6745 0.1745 0.5000  6 Ga 3.05-3.11
4 Ga 0.8792 0.3792 0.0000  1 Ga 2.59
5 Tm 0.1745 0.3255 0.5000  6 Ga 3.05-3.11
6 Ho 0.5000 0.5000 0.0000  4 Ga 3.02
7 Ga 0.1208 0.6208 0.0000  1 Ga 2.59
8 Ga 0.3792 0.1208 0.0000  1 Ga 2.59
9 Ga 0.6208 0.8792 0.0000  1 Ga 2.59
10 Tm 0.3255 0.8255 0.5000  6 Ga 3.05-3.11

Output
Spin magnetization, μB/f.u.: 0.0
Crystal system: tetragonal
DFT total energy, eV/atom: -4.424



Entry from OQMD via LeMat-Bulk: an optimized crystal structure of ZnCuPd (GGA-PBE).

Cell: 4.0665 4.0665 4.0665 Å, 60.00 60.00 60.00°
With the nearest neighbours (Å) after each atom.
Positions (direct):
1 Zn 0.7500 0.7500 0.7500  4 Cu 2.49
2 Cu 0.0000 0.0000 0.0000  4 Zn 2.49, 4 Pd 2.49
3 Pd 0.2500 0.2500 0.2500  4 Cu 2.49

Output
Calculated formation energy, kJ per mole of atoms: -1
Crystal system: cubic
E above lowest polymorph, meV/atom: 0



Entry from OQMD via LeMat-Bulk: an optimized crystal structure of K2ZrP2O8 (GGA-PBE).

Cell: 5.1309 5.1309 8.9895 Å, 90.00 90.00 120.00°
With the nearest neighbours (Å) after each atom.
Positions (direct):
1 K 0.3333 0.6667 0.6504  4 O 2.54-2.79
2 O 0.0782 0.7176 0.1383  1 P 1.55
3 O 0.9218 0.2824 0.8617  1 P 1.55
4 P 0.3334 0.6667 0.1985  4 O 1.52-1.55
5 P 0.6666 0.3333 0.8015  4 O 1.52-1.55
6 O 0.7176 0.6393 0.8617  1 P 1.55
7 O 0.2824 0.3607 0.1383  1 P 1.55
8 O 0.3607 0.0782 0.8617  1 P 1.55
9 O 0.6393 0.9218 0.1383  1 P 1.55
10 K 0.6667 0.3333 0.3496  4 O 2.54-2.79
11 O 0.6666 0.3333 0.6326  1 P 1.52
12 Zr 0.0000 0.0000 0.0000  6 O 2.09
13 O 0.3334 0.6667 0.3674  1 P 1.52

Output
Spin magnetization, μB/f.u.: 0.0
Crystal system: trigonal
DFT total energy, eV/atom: -7.288



Entry from OQMD via LeMat-Bulk: an optimized crystal structure of TlHg3PdSe4 (GGA-PBE).

Cell: 6.4411 6.4411 6.4411 Å, 90.00 90.00 90.00°
With the nearest neighbours (Å) after each atom.
Positions (direct):
1 Se 0.2432 0.2432 0.7568  1 Pd 2.71, 3 Hg 2.76, 1 Tl 2.87
2 Se 0.2432 0.7568 0.2432  1 Pd 2.71, 3 Hg 2.76, 1 Tl 2.87
3 Hg 0.5000 0.0000 0.0000  4 Se 2.76
4 Hg 0.0000 0.5000 0.0000  4 Se 2.76
5 Se 0.7568 0.2432 0.2432  1 Pd 2.71, 3 Hg 2.76, 1 Tl 2.87
6 Se 0.7568 0.7568 0.7568  1 Pd 2.71, 3 Hg 2.76, 1 Tl 2.87
7 Hg 0.0000 0.0000 0.5000  4 Se 2.76
8 Pd 0.0000 0.0000 0.0000  4 Se 2.71
9 Tl 0.5000 0.5000 0.5000  4 Se 2.87

Output
Crystal system: cubic
DFT total energy, eV/atom: -2.562



Entry from OQMD via LeMat-Bulk: an optimized crystal structure of LaPr2Nb2N6 (GGA-PBE).

Cell: 10.3494 10.3494 10.3494 Å, 157.28 157.28 32.35°
With the nearest neighbours (Å) after each atom.
Positions (direct):
1 Nb 0.3983 0.3983 0.0000  5 N 1.95-2.07
2 N 0.5843 0.0843 0.5000  2 Nb 2.07
3 La 0.0000 0.0000 0.0000  8 N 2.64
4 N 0.6999 0.6999 0.0000  1 Nb 1.95
5 N 0.4157 0.9157 0.5000  2 Nb 2.07
6 Pr 0.8210 0.8210 0.0000  1 N 2.41
7 N 0.3001 0.3001 0.0000  1 Nb 1.95
8 Nb 0.6017 0.6017 0.0000  5 N 1.95-2.07
9 N 0.0843 0.5843 0.5000  2 Nb 2.07
10 Pr 0.1790 0.1790 0.0000  1 N 2.41
11 N 0.9157 0.4157 0.5000  2 Nb 2.07

Output
Spin magnetization, μB/f.u.: 0.0
Crystal system: tetragonal
DFT total energy, eV/atom: -8.936



Entry from OQMD via LeMat-Bulk: an optimized crystal structure of YPd2Pb (GGA-PBE).

Cell: 4.4928 6.2460 6.0231 Å, 90.00 90.00 90.00°
With the nearest neighbours (Å) after each atom.
Positions (direct):
1 Y 0.0000 0.4191 0.3700  7 Pd 2.92-3.22
2 Pd 0.0000 0.2796 0.8554  3 Pb 2.86-2.88, 2 Pd 2.91, 3 Y 2.93-3.05
3 Pb 0.5000 0.0972 0.6252  6 Pd 2.86-2.93
4 Y 0.5000 0.5809 0.8700  7 Pd 2.92-3.22
5 Pd 0.0000 0.8020 0.6494  3 Pd 2.91-3.23, 4 Pb 2.91-3.22, 3 Y 2.92-2.95
6 Pd 0.5000 0.1980 0.1494  3 Pd 2.91-3.23, 4 Pb 2.91-3.22, 3 Y 2.92-2.95
7 Pb 0.0000 0.9028 0.1252  6 Pd 2.86-2.93
8 Pd 0.5000 0.7204 0.3554  3 Pb 2.86-2.88, 2 Pd 2.91, 3 Y 2.93-3.05

Output
Spin magnetization, μB/f.u.: 0.0
Crystal system: orthorhombic
DFT total energy, eV/atom: -5.788



Entry from OQMD via LeMat-Bulk: an optimized crystal structure of ThTe2Pd3 (GGA-PBE).

Cell: 4.2216 4.2216 7.5135 Å, 90.00 90.00 90.00°
With the nearest neighbours (Å) after each atom.
Positions (direct):
1 Pd 0.5000 0.0000 0.7165  5 Te 2.91-3.00, 2 Th 3.00, 2 Pd 3.00
2 Th 0.0000 0.0000 0.0000  8 Pd 2.99-3.00, 4 Te 3.25
3 Te 0.5000 0.0000 0.3291  7 Pd 2.91-3.25, 2 Th 3.25
4 Te 0.0000 0.5000 0.6709  7 Pd 2.91-3.25, 2 Th 3.25
5 Pd 0.0000 0.5000 0.2835  5 Te 2.91-3.00, 2 Th 3.00, 2 Pd 3.00
6 Pd 0.5000 0.5000 0.0000  4 Th 2.99, 4 Pd 3.00, 4 Te 3.25

Output
Spin magnetization, μB/f.u.: 0.0
Crystal system: tetragonal
DFT total energy, eV/atom: -5.448